Entry from Alexandria: a geometry-optimized ZrHg3Te2Br6 structure (PBE-GGA).

- uncorrected formation energy (eV/f.u.) = -8.9

a b c (Å): 16.332 7.994 7.212
angles (deg): 90.00 114.28 90.00
Space group C2/m (No. 12)
Symmetry-distinct sites (fractional):
Zr 0.000 0.000 0.000 (multiplicity 2)
Hg 0.000 0.500 0.500 (multiplicity 2)
Hg 0.250 0.250 0.500 (multiplicity 4)
Te 0.185 0.500 0.668 (multiplicity 4)
Br 0.084 0.000 0.405 (multiplicity 4)
Br 0.109 0.237 0.981 (multiplicity 8)



Entry from Alexandria: a geometry-optimized ThHgBr2 structure (PBE-GGA).

- uncorrected formation energy (eV/f.u.) = -4.3

a b c (Å): 3.7080 3.7080 36.9345
angles (deg): 90.00 90.00 120.00
Space group R-3m (No. 166, hexagonal axes)
Symmetry-distinct sites (fractional):
Th 0.0000 0.0000 0.0000 (multiplicity 3)
Hg 0.0000 0.0000 0.5000 (multiplicity 3)
Br 0.0000 0.0000 0.3916 (multiplicity 6)



Entry from Alexandria: a geometry-optimized ThTlHgBr6 structure (PBE-GGA).

- uncorrected formation energy (eV/f.u.) = -10.4

a b c (Å): 7.9728 7.9728 13.0652
angles (deg): 90.00 90.00 120.00
Space group P-31c (No. 163)
Symmetry-distinct sites (fractional):
Th 0.3333 0.6667 0.2500 (multiplicity 2)
Tl 0.3333 0.6667 0.7500 (multiplicity 2)
Hg 0.0000 0.0000 0.0000 (multiplicity 2)
Br 0.0450 0.3681 0.1244 (multiplicity 12)



Entry from Alexandria: a geometry-optimized Ti2HgBr4 structure (PBE-GGA).

- uncorrected formation energy (eV/f.u.) = -6.6

a b c (Å): 21.205 3.427 6.216
angles (deg): 90.00 101.77 90.00
Space group C2/m (No. 12)
Symmetry-distinct sites (fractional):
Ti 0.249 0.000 0.188 (multiplicity 4)
Hg 0.000 0.500 0.500 (multiplicity 2)
Br 0.159 0.500 0.023 (multiplicity 4)
Br 0.181 0.000 0.538 (multiplicity 4)



Entry from Alexandria: a geometry-optimized Ti2HgBr structure (PBE-GGA).

- uncorrected formation energy (eV/f.u.) = 1.5

a b c (Å): 4.282 4.282 19.027
angles (deg): 90.00 90.00 90.00
Space group I-42d (No. 122)
Symmetry-distinct sites (fractional):
Ti 0.240 0.250 0.125 (multiplicity 8)
Hg 0.000 0.000 0.500 (multiplicity 4)
Br 0.000 0.000 0.000 (multiplicity 4)



Entry from Alexandria: a geometry-optimized Ti3Hg2Br9 structure (PBE-GGA).

- uncorrected formation energy (eV/f.u.) = -12.4

a b c (Å): 10.977 20.881 10.373
angles (deg): 90.00 116.85 90.00
Space group C2/m (No. 12)
Symmetry-distinct sites (fractional):
Ti 0.140 0.000 0.353 (multiplicity 4)
Ti 0.161 0.089 0.671 (multiplicity 8)
Hg 0.126 0.324 0.768 (multiplicity 8)
Br 0.000 0.173 0.500 (multiplicity 4)
Br 0.019 0.087 0.809 (multiplicity 8)
Br 0.188 0.500 0.169 (multiplicity 4)
Br 0.190 0.330 0.171 (multiplicity 8)
Br 0.207 0.414 0.477 (multiplicity 8)
Br 0.230 0.500 0.783 (multiplicity 4)



Entry from Alexandria: a geometry-optimized Ti2HgBr structure (PBE-GGA).

- uncorrected formation energy (eV/f.u.) = 0.7

a b c (Å): 6.711 6.711 6.711
angles (deg): 90.00 90.00 90.00
Space group Fm-3m (No. 225)
Symmetry-distinct sites (fractional):
Ti 0.250 0.250 0.250 (multiplicity 8)
Hg 0.000 0.000 0.000 (multiplicity 4)
Br 0.000 0.000 0.500 (multiplicity 4)



Entry from Alexandria: a geometry-optimized TiHg2Br8 structure (PBE-GGA).

- uncorrected formation energy (eV/f.u.) = -7.7

a b c (Å): 13.117 7.318 10.148
angles (deg): 90.00 110.73 90.00
Space group C2/m (No. 12)
Symmetry-distinct sites (fractional):
Ti 0.000 0.000 0.000 (multiplicity 2)
Hg 0.163 0.000 0.364 (multiplicity 4)
Br 0.043 0.000 0.757 (multiplicity 4)
Br 0.140 0.238 0.098 (multiplicity 8)
Br 0.147 0.500 0.474 (multiplicity 4)